# MnSb2Au

A crystal of MnSb2Au relaxed with PBEsol (SCAN, Alexandria via LeMat-Bulk). Values from VASP.

Values from the calculation:
The calculation puts the total magnetization at 0.909 μB per atom. As for the density of states at the Fermi level: 2.03 states/eV per cell. Its formation energy (no corrections) is -1 meV/atom. The total energy is -161.9 eV/f.u. As for the volume: 20.8 Å³/atom. The space-group type is C2/m, No. 12. For the energy above the most stable polymorph in this dataset, the calculation gives 0.137 eV/atom.

Quantum ESPRESSO input file:
```
&SYSTEM
  ibrav = 0, nat = 4, ntyp = 3
/
ATOMIC_SPECIES
Au 196.97 Au.upf
Mn 54.94 Mn.upf
Sb 121.76 Sb.upf
ATOMIC_POSITIONS crystal
Au 0.000 0.000 0.500
Mn 0.500 0.000 0.000
Sb 0.763 0.527 0.775
Sb 0.237 0.473 0.225
CELL_PARAMETERS angstrom
3.596 0.000 0.000
-1.798 3.943 -0.119
0.000 -1.352 5.920
```